Model i:
# RbMn3Sb (PBE-GGA, optimized geometry)
data_RbMn3Sb
_space_group_name_H-M_alt 'P 1'
_space_group_IT_number 1
_cell_length_a 5.035
_cell_length_b 5.035
_cell_length_c 5.035
_cell_angle_alpha 90.00
_cell_angle_beta 90.00
_cell_angle_gamma 90.00
loop_
_space_group_symop_operation_xyz
'x,y,z'
loop_
_atom_site_label
_atom_site_type_symbol
_atom_site_fract_x
_atom_site_fract_y
_atom_site_fract_z
_atom_site_occupancy
Sb1 Sb 0.500 0.500 0.500 1
Rb1 Rb 0.000 0.000 0.000 1
Mn1 Mn 0.000 0.000 0.500 1
Mn2 Mn 0.000 0.500 0.000 1
Mn3 Mn 0.500 0.000 0.000 1
# **Spin magnetization**: 12.02 Bohr magnetons per cell

Model ii:
# RbMn3Sb (PBE-GGA, optimized geometry)
data_RbMn3Sb
_space_group_name_H-M_alt 'P 1'
_space_group_IT_number 1
_cell_length_a 5.214
_cell_length_b 5.214
_cell_length_c 5.214
_cell_angle_alpha 90.00
_cell_angle_beta 90.00
_cell_angle_gamma 90.00
loop_
_space_group_symop_operation_xyz
'x,y,z'
loop_
_atom_site_label
_atom_site_type_symbol
_atom_site_fract_x
_atom_site_fract_y
_atom_site_fract_z
_atom_site_occupancy
Mn1 Mn 0.500 0.000 0.000 1
Mn2 Mn 0.000 0.000 0.500 1
Mn3 Mn 0.000 0.500 0.000 1
Rb1 Rb 0.500 0.500 0.500 1
Sb1 Sb 0.000 0.000 0.000 1
# **Spin magnetization**: 11.08 Bohr magnetons per cell

Which is less stable than every other structure shown? model i is.